[1]
RhCBr3: optimized geometry, PBE.

Summary:
Total DFT energy (no corrections)   -2.83 eV/atom
DOS(E_F)   1.093 states/eV per atom
Relative energy among the computed polymorphs   55.8 meV per atom
Magnetic moment   1.85 μB/cell
Raw formation energy   1.491 eV/atom

a b c (Å): 4.6926 4.6926 4.6926
angles (deg): 90.00 90.00 90.00
Closest atoms and distances in Å follow each position.
Sites, in units of the cell vectors:
Br (0.5000, 0.0000, 0.0000)  2 C 2.35
Br (0.0000, 0.0000, 0.5000)  2 C 2.35
Br (0.0000, 0.5000, 0.0000)  2 C 2.35
Rh (0.5000, 0.5000, 0.5000)  12 Br 3.32
C (0.0000, 0.0000, 0.0000)  6 Br 2.35

[2]
TiGaP2: optimized geometry, PBE.

Summary:
Total DFT energy (no corrections)   -5.48 eV/atom
DOS(E_F)   0.714 states/eV per atom
ΔH_f (0 K)   -0.05 eV/atom
Relative energy among the computed polymorphs   297.5 meV per atom
Magnetic moment   0.00 μB/cell

a b c (Å): 4.4603 4.4603 4.4603
angles (deg): 60.00 60.00 60.00
Closest atoms and distances in Å follow each position.
Sites, in units of the cell vectors:
Ga (0.5000, 0.5000, 0.5000)  8 P 2.73
Ti (0.0000, 0.0000, 0.0000)  8 P 2.73
P (0.2500, 0.2500, 0.2500)  4 Ti 2.73, 4 Ga 2.73
P (0.7500, 0.7500, 0.7500)  4 Ga 2.73, 4 Ti 2.73

[3]
Nd2Al3AgAu4: optimized geometry, PBE.

Summary:
Total DFT energy (no corrections)   -4.29 eV/atom
DOS(E_F)   0.571 states/eV per atom
ΔH_f (0 K)   -0.61 eV/atom
Magnetic moment   0.00 μB/cell

a b c (Å): 4.3939 4.3939 10.9503
angles (deg): 90.00 90.00 90.00
Closest atoms and distances in Å follow each position.
Sites, in units of the cell vectors:
Al (0.5000, 0.0000, 0.8753)  5 Au 2.48-2.59
Al (0.0000, 0.0000, 0.5000)  4 Au 2.73
Al (0.0000, 0.5000, 0.1247)  5 Au 2.48-2.59
Nd (0.0000, 0.5000, 0.7559)  8 Au 3.32-3.46, 6 Al 3.37-3.56, 2 Ag 3.56
Nd (0.5000, 0.0000, 0.2441)  8 Au 3.32-3.46, 6 Al 3.37-3.56, 2 Ag 3.56
Au (0.0000, 0.0000, 0.0000)  4 Al 2.59
Au (0.5000, 0.0000, 0.6484)  3 Al 2.48-2.73, 2 Ag 2.73
Au (0.0000, 0.5000, 0.3516)  3 Al 2.48-2.73, 2 Ag 2.73
Au (0.5000, 0.5000, 0.0000)  4 Al 2.59
Ag (0.5000, 0.5000, 0.5000)  4 Au 2.73

[4]
SrC3N: optimized geometry, PBE.

Summary:
Total DFT energy (no corrections)   -4.66 eV/atom
DOS(E_F)   0.545 states/eV per atom
Relative energy among the computed polymorphs   0.0 meV per atom
Magnetic moment   0.00 μB/cell
Raw formation energy   2.879 eV/atom

a b c (Å): 3.8715 3.8715 3.8715
angles (deg): 90.00 90.00 90.00
Closest atoms and distances in Å follow each position.
Sites, in units of the cell vectors:
C (0.0000, 0.5000, 0.0000)  2 N 1.94
C (0.0000, 0.0000, 0.5000)  2 N 1.94
C (0.5000, 0.0000, 0.0000)  2 N 1.94
N (0.0000, 0.0000, 0.0000)  6 C 1.94
Sr (0.5000, 0.5000, 0.5000)  12 C 2.74

[5]
HfMgBeP2: optimized geometry, PBE.

Summary:
Total DFT energy (no corrections)   -4.82 eV/atom
DOS(E_F)   0.534 states/eV per atom
ΔH_f (0 K)   0.40 eV/atom
Magnetic moment   0.00 μB/cell

a b c (Å): 4.4245 4.1711 4.4245
angles (deg): 90.00 90.00 90.00
Closest atoms and distances in Å follow each position.
Sites, in units of the cell vectors:
P (0.0000, 0.0000, 0.5000)  2 Be 2.21
P (0.5000, 0.0000, 0.0000)  2 Be 2.21
Hf (0.5000, 0.5000, 0.5000)  8 P 3.04, 4 Mg 3.13
Be (0.0000, 0.0000, 0.0000)  2 Mg 2.09, 4 P 2.21
Mg (0.0000, 0.5000, 0.0000)  2 Be 2.09

[6]
P2IrSe: optimized geometry, PBE.

Summary:
Total DFT energy (no corrections)   -5.16 eV/atom
DOS(E_F)   0.425 states/eV per atom
Magnetic moment   0.00 μB/cell
Raw formation energy   0.627 eV/atom

a b c (Å): 4.4861 4.4861 3.1356
angles (deg): 90.00 90.00 101.77
Closest atoms and distances in Å follow each position.
Sites, in units of the cell vectors:
P (0.5000, 0.5000, 0.0000)  4 Se 2.74, 4 Ir 2.74, 2 P 2.83
P (0.0000, 0.0000, 0.0000)  4 Ir 2.74, 4 Se 2.74, 2 P 2.83
Se (0.5000, 0.0000, 0.5000)  8 P 2.74, 2 Ir 2.83
Ir (0.0000, 0.5000, 0.5000)  8 P 2.74, 2 Se 2.83